Entry 1:
VASP calculation (PBE-GGA) on a relaxed NaMg2TiRe crystal.

a = 5.035 Å, b = 5.035 Å, c = 4.839 Å
α = 90.00°, β = 90.00°, γ = 90.00°
Space group P4/mmm (No. 123)
Unique sites:
Na 0.000 0.000 0.000 [1 per cell]
Mg 0.000 0.500 0.500 [2 per cell]
Ti 0.000 0.000 0.500 [1 per cell]
Re 0.500 0.500 0.000 [1 per cell]

The value obtained for the total magnetic moment is 4.26 μB/f.u. As for the density of states at the Fermi level: 5.7 states/eV/cell. The crystal system is tetragonal. For the total energy, the calculation gives -14.42 eV for the cell shown.

=====

Entry 2:
VASP calculation (PBE-GGA) on a relaxed BaZrPt crystal.

a = 4.845 Å, b = 4.845 Å, c = 7.502 Å
α = 90.00°, β = 90.00°, γ = 90.00°
Space group P4/nmm (No. 129, origin choice 2)
Unique sites:
Ba 0.250 0.250 0.128 [2 per cell]
Zr 0.250 0.750 0.500 [2 per cell]
Pt 0.250 0.250 0.666 [2 per cell]

The value obtained for the distance to the lowest polymorph of the same formula is 0.000 eV/atom. The value obtained for the total magnetic moment is 0.00 μB/f.u. As for the density of states at the Fermi level: 6.0 states/eV/cell. The crystal system is tetragonal. For the total energy, the calculation gives -37.03 eV for the cell shown.

=====

Entry 3:
VASP calculation (PBE-GGA) on a relaxed HoTm3Ga4 crystal.

a = 10.012 Å, b = 7.035 Å, c = 5.006 Å
α = 90.00°, β = 90.00°, γ = 90.00°
Space group Pmma (No. 51)
Unique sites:
Ho 0.000 0.000 0.000 [2 per cell]
Tm 0.000 0.500 0.000 [2 per cell]
Tm 0.250 0.000 0.499 [2 per cell]
Tm 0.250 0.500 0.499 [2 per cell]
Ga 0.000 0.252 0.500 [4 per cell]
Ga 0.250 0.252 0.998 [4 per cell]

The value obtained for the total magnetic moment is 0.00 μB/f.u. As for the density of states at the Fermi level: 6.9 states/eV/cell. The crystal system is orthorhombic. For the total energy, the calculation gives -69.32 eV for the cell shown.